Here is a relaxed structure of NdHoHgAu from the Alexandria database. Energies are from PBE-GGA.

```
NdHoHgAu
1.0
3.6930 0.0000 0.0000
0.0000 3.6930 0.0000
0.0000 0.0000 7.4927
Nd Ho Hg Au
1 1 1 1
Cartesian
1.8465 1.8465 0.8579
1.8465 1.8465 4.4372
0.0000 0.0000 6.2947
0.0000 0.0000 2.8557
```

Properties
- ΔE to the lowest computed polymorph: 0.00 eV per formula unit

Here is a relaxed structure of NdHoHgAu from the Alexandria database. Energies are from PBE-GGA.

```
NdHoHgAu
1.0
5.2510 0.0000 0.0000
2.6255 4.5475 0.0000
2.6255 1.5158 4.2874
Nd Au Hg Ho
1 1 1 1
Cartesian
2.6255 1.5158 1.0719
0.0000 0.0000 0.0000
5.2510 3.0317 2.1437
7.8765 4.5475 3.2156
```

Properties
- ΔE to the lowest computed polymorph: 0.09 eV per formula unit

Here is a relaxed structure of HoPaHgAu from the Alexandria database. Energies are from PBE-GGA.

```
HoPaHgAu
1.0
5.1798 0.0000 0.0000
2.5899 4.4858 0.0000
2.5899 1.4953 4.2293
Pa Au Hg Ho
1 1 1 1
Cartesian
2.5899 1.4953 1.0573
0.0000 0.0000 0.0000
5.1798 2.9906 2.1146
7.7697 4.4858 3.1720
```

Here is a relaxed structure of Ho4HgPdAu2 from the Alexandria database. Energies are from PBE-GGA.

```
Ho4HgPdAu2
1.0
5.0806 0.0000 0.0000
2.5403 4.3999 0.0000
2.5403 1.4666 8.2801
Ho Hg Pd Au
4 1 1 2
Cartesian
5.0806 2.9333 7.1286
7.6208 4.3999 3.2015
2.5403 1.4666 5.0787
5.0806 2.9333 1.1516
0.0000 0.0000 0.0000
5.0806 2.9333 4.1401
7.6208 4.3999 6.2949
2.5403 1.4666 1.9853
```

Here is a relaxed structure of HoHgPdAu from the Alexandria database. Energies are from PBE-GGA.

```
HoHgPdAu
1.0
-3.1843 2.1569 2.9738
-4.2354 -2.1635 1.0079
-0.8039 -1.8224 4.4349
Au Hg Pd Ho
1 1 1 1
Cartesian
0.0000 0.0000 0.0000
-2.0559 -0.4572 2.1041
-4.1118 -0.9145 4.2083
-6.1677 -1.3717 6.3124
```

Here is a relaxed structure of HoHgPtAu from the Alexandria database. Energies are from PBE-GGA.

```
HoHgPtAu
1.0
-0.4688 -4.7769 0.8369
0.8525 -3.1953 -3.5780
3.9527 -2.8439 0.1641
Au Hg Pt Ho
1 1 1 1
Cartesian
3.2524 -8.1120 -1.9327
2.1682 -5.4080 -1.2885
1.0841 -2.7040 -0.6442
0.0000 0.0000 0.0000
```

Here is a relaxed structure of HoPuHgAu from the Alexandria database. Energies are from PBE-GGA.

```
HoPuHgAu
1.0
5.2031 0.0000 0.0000
2.6015 4.5060 0.0000
2.6015 1.5020 4.2483
Ho Au Hg Pu
1 1 1 1
Cartesian
2.6015 1.5020 1.0621
0.0000 0.0000 0.0000
5.2031 3.0040 2.1242
7.8046 4.5060 3.1862
```

Properties
- ΔE to the lowest computed polymorph: 0.20 eV per formula unit

Here is a relaxed structure of HoPuHgAu from the Alexandria database. Energies are from PBE-GGA.

```
HoPuHgAu
1.0
-2.9596 0.7495 1.8604
-1.9669 -0.4352 -2.9537
-0.8497 -7.5043 1.6716
Ho Pu Hg Au
1 1 1 1
Cartesian
-2.9628 -4.2546 0.4361
-2.5643 -0.7348 -0.3480
-0.7163 -6.3265 1.4092
-0.3213 -2.8378 0.6321
```

Properties
- ΔE to the lowest computed polymorph: 0.00 eV per formula unit

Here is a relaxed structure of Ho4HgRhAu2 from the Alexandria database. Energies are from PBE-GGA.

```
Ho4HgRhAu2
1.0
-0.1331 4.5518 2.2025
0.7847 0.4244 4.9792
8.2717 2.5450 1.0490
Ho Hg Rh Au
4 1 1 2
Cartesian
7.3000 4.0729 3.6414
3.8112 5.3239 6.6541
5.1120 2.1973 1.5766
1.6232 3.4483 4.5893
0.0000 0.0000 0.0000
4.4616 3.7606 4.1153
6.8364 5.6568 6.1490
2.0869 1.8645 2.0817
```

Here is a relaxed structure of HoScHgAu from the Alexandria database. Energies are from PBE-GGA.

```
HoScHgAu
1.0
-2.1230 -4.5043 0.7409
1.8702 -4.0723 -2.2942
2.4160 -3.5115 2.6790
Sc Au Hg Ho
1 1 1 1
Cartesian
0.5408 -3.0220 0.2814
0.0000 0.0000 0.0000
1.0816 -6.0440 0.5629
1.6225 -9.0660 0.8443
```

Properties
- ΔE to the lowest computed polymorph: 0.07 eV per formula unit

Here is a relaxed structure of HoScHgAu from the Alexandria database. Energies are from PBE-GGA.

```
HoScHgAu
1.0
3.5706 0.0000 0.0000
0.0000 3.5706 0.0000
0.0000 0.0000 7.0455
Ho Sc Hg Au
1 1 1 1
Cartesian
1.7853 1.7853 4.1987
1.7853 1.7853 0.8300
0.0000 0.0000 6.1718
0.0000 0.0000 2.3830
```

Properties
- ΔE to the lowest computed polymorph: 0.00 eV per formula unit

Here is a relaxed structure of HoSnHgAu from the Alexandria database. Energies are from PBE-GGA.

```
HoSnHgAu
1.0
5.0710 0.0000 0.0000
2.5355 4.3916 0.0000
2.5355 1.4639 4.1405
Au Hg Sn Ho
1 1 1 1
Cartesian
5.0710 2.9278 2.0702
0.0000 0.0000 0.0000
2.5355 1.4639 1.0351
7.6065 4.3916 3.1053
```

| no. | ΔH_f (0 K) (eV/atom) |
| --- | --- |
| 1 | -0.65 |
| 2 | -0.62 |
| 3 | -0.23 |
| 4 | -0.78 |
| 5 | -0.62 |
| 6 | -0.66 |
| 7 | -0.42 |
| 8 | -0.47 |
| 9 | -0.78 |
| 10 | -0.62 |
| 11 | -0.64 |
| 12 | -0.49 |